(1)
Here is a geometry-optimized YSc2W structure from Alexandria via LeMat-Bulk. Energies are from PBE.

Results
The calculation puts the energy relative to the lowest polymorph listed for this composition at 127 meV per atom.

The structure in POSCAR format:
```
YSc2W
1.0
-1.9823 0.4595 -5.0896
-3.8323 -2.0279 3.3534
-0.9752 2.9046 0.6420
Sc W Y
2 1 1
direct
0.5000 0.5000 0.0000 Sc
0.0000 0.0000 0.0000 Sc
0.5000 0.0000 0.5000 W
0.0000 0.5000 0.5000 Y
```


(2)
Here is a geometry-optimized Ba2NaZnPt structure from Alexandria via LeMat-Bulk. Energies are from PBE.

Results
The calculation puts the energy relative to the lowest polymorph listed for this composition at 0 meV per atom.

The structure in POSCAR format:
```
Ba2NaZnPt
1.0
6.2114 0.0000 0.0000
0.0000 6.2114 0.0000
0.0000 0.0000 5.0322
Na Pt Zn Ba
1 1 1 2
direct
0.5000 0.5000 0.5000 Na
0.0000 0.0000 0.0000 Pt
0.0000 0.0000 0.5000 Zn
0.0000 0.5000 0.0000 Ba
0.5000 0.0000 0.0000 Ba
```


(3)
Here is a geometry-optimized P2Br structure from Alexandria via LeMat-Bulk. Energies are from PBE.

Results
The calculation puts the energy relative to the lowest polymorph listed for this composition at 278 meV per atom.

The structure in POSCAR format:
```
P2Br
1.0
-1.6830 1.6830 5.5475
1.6830 -1.6830 5.5475
1.6830 1.6830 -5.5475
Br P
1 2
direct
0.0000 0.0000 0.0000 Br
0.7724 0.7724 0.0000 P
0.2276 0.2276 0.0000 P
```


(4)
Here is a geometry-optimized PmPuCdRu structure from Alexandria via LeMat-Bulk. Energies are from PBE.

Results
The calculation puts the energy relative to the lowest polymorph listed for this composition at 0 meV per atom.

The structure in POSCAR format:
```
PmPuCdRu
1.0
-2.3485 -2.3711 0.4788
2.2644 -1.9203 1.5974
-2.1194 3.5733 7.3003
Pu Cd Ru Pm
1 1 1 1
direct
0.5000 0.5000 0.3660 Pu
0.0000 0.0000 0.0769 Cd
0.0000 0.0000 0.5604 Ru
0.5000 0.5000 0.7814 Pm
```


(5)
Here is a geometry-optimized Ce4PuP5 structure from Alexandria via LeMat-Bulk. Energies are from PBE.

Results
The calculation puts the energy relative to the lowest polymorph listed for this composition at 0 meV per atom.

The structure in POSCAR format:
```
Ce4PuP5
1.0
5.1887 0.0000 2.5027
2.5944 6.4426 1.2513
-0.2045 0.0000 7.0542
P Ce Pu
5 4 1
direct
0.7036 0.1983 0.3964 P
0.1001 0.6036 0.1983 P
0.2984 0.8017 0.6036 P
0.9019 0.3964 0.8017 P
0.5012 0.0000 0.0000 P
0.4020 0.3988 0.7993 Ce
0.8007 0.7993 0.6012 Ce
0.6000 0.6012 0.2007 Ce
0.2013 0.2007 0.3988 Ce
0.0012 0.0000 0.0000 Pu
```


(6)
Here is a geometry-optimized PrMg4 structure from Alexandria via LeMat-Bulk. Energies are from PBE.

Results
The raw total energy comes out at -1.93 eV per atom.

The structure in POSCAR format:
```
PrMg4
1.0
6.3785 0.0000 0.0000
0.0000 9.8657 0.0000
0.0000 0.0000 9.8657
Mg Pr
16 4
direct
0.5000 0.3954 0.8954 Mg
0.5000 0.8959 0.1951 Mg
0.7947 0.0000 0.0000 Mg
0.2053 0.0000 0.0000 Mg
0.5000 0.8954 0.6046 Mg
0.2053 0.5000 0.5000 Mg
0.5000 0.6951 0.3959 Mg
0.5000 0.1046 0.3954 Mg
0.7947 0.5000 0.5000 Mg
0.5000 0.6041 0.6951 Mg
0.5000 0.6046 0.1046 Mg
0.5000 0.1951 0.1041 Mg
0.5000 0.1041 0.8049 Mg
0.5000 0.8049 0.8959 Mg
0.5000 0.3959 0.3049 Mg
0.5000 0.3049 0.6041 Mg
0.0000 0.7642 0.7358 Pr
0.0000 0.2642 0.7642 Pr
0.0000 0.2358 0.2642 Pr
0.0000 0.7358 0.2358 Pr
```


(7)
Here is a geometry-optimized YAg3Rh structure from Alexandria via LeMat-Bulk. Energies are from PBE.

Results
The calculation puts the energy relative to the lowest polymorph listed for this composition at 1010 meV per atom.

The structure in POSCAR format:
```
YAg3Rh
1.0
-5.1746 -0.5259 -0.3950
-0.1560 -2.0619 4.7889
-0.6390 4.7625 2.0297
Ag Rh Y
3 1 1
direct
0.0000 0.5000 0.0000 Ag
0.0000 0.0000 0.5000 Ag
0.5000 0.0000 0.0000 Ag
0.5000 0.5000 0.5000 Rh
0.0000 0.0000 0.0000 Y
```


(8)
Here is a geometry-optimized DyAl3Ag structure from Alexandria via LeMat-Bulk. Energies are from PBE.

Results
The raw total energy comes out at -4.09 eV per atom.

The structure in POSCAR format:
```
DyAl3Ag
1.0
-2.2476 3.5178 -4.8774
-1.4547 -6.1600 1.0755
-4.5692 1.6551 3.2993
Al Ag Dy
6 2 2
direct
0.2434 0.7432 0.5000 Al
0.8527 0.6476 0.7500 Al
0.7566 0.2568 0.0000 Al
0.2434 0.7432 0.0000 Al
0.1473 0.3524 0.2500 Al
0.7566 0.2568 0.5000 Al
0.6349 0.8655 0.7500 Ag
0.3651 0.1345 0.2500 Ag
0.7537 0.7460 0.2500 Dy
0.2463 0.2540 0.7500 Dy
```


One value per record, in order, for M_tot: 0.000, 0.000, 0.000, 5.132, 7.564, 0.000, 0.000, 0.000 μB/cell.